NpTl2NiO6 | Alexandria via LeMat-Bulk | PBE with a Hubbard U | relaxed; calculated total energy = -6.519 eV per atom; space group = No. 225; total moment = 2.09 μB/f.u.
1.0
-3.176 3.625 3.290
-5.535 1.157 -1.443
-4.365 -2.088 3.262
Tl O Ni Np
2 6 1 1
Direct
0.066 0.066 0.802
0.566 0.566 0.302
0.562 0.070 0.805
0.070 0.563 0.805
0.563 0.070 0.298
0.070 0.563 0.298
0.069 0.070 0.298
0.563 0.562 0.805
0.816 0.816 0.551
0.316 0.316 0.051